Run w
Entry from Alexandria: BaIO2 after structural relaxation (PBEsol).

abc: 6.7462 6.7462 6.7462
angles: 90.00 90.00 90.00
Last column: nearest neighbours and their distance in Å.
Space group Fm-3m (No. 225)
Inequivalent atoms, fractional coordinates:
Ba (0.0000, 0.0000, 0.0000) [4 per cell]  8 O 2.92
I (0.0000, 0.0000, 0.5000) [4 per cell]  8 O 2.92
O (0.2500, 0.2500, 0.2500) [8 per cell]  4 Ba 2.92, 4 I 2.92

The crystal system is cubic.



Run x
Entry from Alexandria: BaIO2 after structural relaxation (PBEsol).

abc: 4.9757 4.9757 14.2132
angles: 90.00 90.00 90.00
Last column: nearest neighbours and their distance in Å.
Space group I-42d (No. 122)
Inequivalent atoms, fractional coordinates:
Ba (0.0000, 0.0000, 0.0000) [4 per cell]  4 O 2.67
I (0.0000, 0.0000, 0.5000) [4 per cell]  4 O 2.36
O (0.1880, 0.2500, 0.6250) [8 per cell]  2 I 2.36

The crystal system is tetragonal.



Preferred: run x; penalty for the next structure: 273 meV/atom.